{"formula": "LiTl3Hg3", "functional": "PBE", "state": "relaxed", "cell": [[3.834, -4.882, 0.000], [3.834, 4.882, 0.000], [-0.931, 0.000, 10.093]], "species": ["Li", "Li", "Tl", "Tl", "Tl", "Tl", "Tl", "Tl", "Hg", "Hg", "Hg", "Hg", "Hg", "Hg"], "fractional_positions": [[0.209, 0.209, 0.061], [0.791, 0.791, 0.939], [0.170, 0.830, 0.500], [0.304, 0.696, 0.000], [0.436, 0.436, 0.653], [0.564, 0.564, 0.347], [0.696, 0.304, 0.000], [0.830, 0.170, 0.500], [0.044, 0.448, 0.259], [0.086, 0.086, 0.803], [0.448, 0.044, 0.259], [0.552, 0.956, 0.741], [0.914, 0.914, 0.197], [0.956, 0.552, 0.741]], "relative_energy_mev_per_atom": 0, "m_tot_mub_per_cell": 0.0, "e_tot_ev_per_cell": -20.81}

---

{"formula": "LiTl6Hg2", "functional": "PBE", "state": "relaxed", "cell": [[3.458, 0.000, 0.000], [-1.729, 2.994, 0.000], [0.000, 0.000, 24.779]], "species": ["Li", "Tl", "Tl", "Tl", "Tl", "Tl", "Tl", "Hg", "Hg"], "fractional_positions": [[0.000, 0.000, 0.000], [0.000, 0.000, 0.204], [0.000, 0.000, 0.433], [0.000, 0.000, 0.567], [0.000, 0.000, 0.796], [0.333, 0.667, 0.090], [0.333, 0.667, 0.910], [0.333, 0.667, 0.318], [0.333, 0.667, 0.682]], "m_tot_mub_per_cell": 0.0, "e_tot_ev_per_cell": -16.81}